12
Lattice="2.8603 0.0000 0.0000 -1.4301 2.4771 0.0000 0.0000 0.0000 15.1332" Properties=species:S:1:pos:R:3 comment="CrBN2 | the Alexandria database | PBE | relaxed" crystal_system=trigonal raw_formation_energy_ev_per_atom=-0.28 dft_energy_ev_per_cell=-102.255 e_above_lowest_polymorph_mev_per_atom=198 sg="No. 166" pbc="T T T"
Cr 0.0000 0.0000 0.0000
Cr 0.0000 1.6514 10.0888
Cr 1.4301 0.8257 5.0444
B 0.0000 0.0000 7.5666
B 0.0000 1.6514 2.5222
B 1.4301 0.8257 12.6110
N 0.0000 0.0000 6.2238
N 0.0000 0.0000 8.9094
N 0.0000 1.6514 1.1794
N 0.0000 1.6514 3.8650
N 1.4301 0.8257 11.2683
N 1.4301 0.8257 13.9538



12
Lattice="3.0171 0.0000 0.0000 0.0000 4.4943 0.0000 0.0000 0.0000 13.2477" Properties=species:S:1:pos:R:3 comment="MgCrTc | the Alexandria database | PBE | relaxed" crystal_system=orthorhombic ef_ev_per_atom=0.289 dft_energy_ev_per_cell=-82.870 e_above_lowest_polymorph_mev_per_atom=149 sg="No. 42" pbc="T T T"
Mg 0.0000 0.0000 0.0000
Mg 0.0000 2.2472 6.6238
Mg 1.5086 0.0000 6.6238
Mg 1.5086 2.2472 0.0000
Cr 0.0000 0.0000 4.2929
Cr 0.0000 2.2472 10.9167
Cr 1.5086 0.0000 10.9167
Cr 1.5086 2.2472 4.2929
Tc 0.0000 0.0000 9.0214
Tc 0.0000 2.2472 2.3976
Tc 1.5086 0.0000 2.3976
Tc 1.5086 2.2472 9.0214



16
Lattice="7.1587 0.0000 0.0000 0.0000 7.1587 0.0000 0.0000 0.0000 7.1587" Properties=species:S:1:pos:R:3 comment="CeTm2Re | the Alexandria database | PBE | relaxed" crystal_system=cubic ef_ev_per_atom=0.251 dft_energy_ev_per_cell=-105.283 sg="No. 225" pbc="T T T"
Ce 0.0000 0.0000 0.0000
Ce 0.0000 3.5793 3.5793
Ce 3.5793 0.0000 3.5793
Ce 3.5793 3.5793 0.0000
Tm 1.7897 1.7897 1.7897
Tm 1.7897 1.7897 5.3690
Tm 1.7897 5.3690 1.7897
Tm 1.7897 5.3690 5.3690
Tm 5.3690 1.7897 1.7897
Tm 5.3690 1.7897 5.3690
Tm 5.3690 5.3690 1.7897
Tm 5.3690 5.3690 5.3690
Re 0.0000 0.0000 3.5793
Re 0.0000 3.5793 0.0000
Re 3.5793 0.0000 0.0000
Re 3.5793 3.5793 3.5793



12
Lattice="2.9627 0.0000 0.0000 -1.4814 2.5658 0.0000 0.0000 0.0000 31.7891" Properties=species:S:1:pos:R:3 comment="CdOsCl2 | the Alexandria database | PBE | relaxed" crystal_system=trigonal raw_formation_energy_ev_per_atom=0.17 dft_energy_ev_per_cell=-45.522 e_above_lowest_polymorph_mev_per_atom=121 sg="No. 166" pbc="T T T"
Cd 0.0000 0.0000 0.0000
Cd 0.0000 1.7105 21.1927
Cd 1.4814 0.8553 10.5964
Os 0.0000 0.0000 15.8945
Os 0.0000 1.7105 5.2982
Os 1.4814 0.8553 26.4909
Cl 0.0000 0.0000 13.6716
Cl 0.0000 0.0000 18.1175
Cl 0.0000 1.7105 3.0753
Cl 0.0000 1.7105 7.5211
Cl 1.4814 0.8553 24.2680
Cl 1.4814 0.8553 28.7138



5
Lattice="5.9993 0.0000 0.0000 0.0000 5.9993 0.0000 0.0000 0.0000 5.4884" Properties=species:S:1:pos:R:3 comment="KTeI2Cl | the Alexandria database | PBE | relaxed" crystal_system=tetragonal raw_formation_energy_ev_per_atom=-0.18 dft_energy_ev_per_cell=-10.068 e_above_lowest_polymorph_mev_per_atom=492 sg="No. 123" pbc="T T T"
K 0.0000 0.0000 0.0000
Te 2.9996 2.9996 0.0000
I 0.0000 2.9996 2.7442
I 2.9996 0.0000 2.7442
Cl 2.9996 2.9996 2.7442



14
Lattice="-3.2368 3.6698 4.5783 3.2368 -3.6698 4.5783 3.2368 3.6698 -4.5783" Properties=species:S:1:pos:R:3 comment="TlCuPtO4 | the Alexandria database | PBE | relaxed" crystal_system=orthorhombic raw_formation_energy_ev_per_atom=-0.51 dft_energy_ev_per_cell=-71.776 sg="No. 74" pbc="T T T"
Tl 0.0000 0.0000 0.0000
Tl 0.0000 3.6698 0.0000
Cu 3.2368 1.8349 0.2542
Cu 0.0000 1.8349 4.3242
Pt 1.6184 1.8349 -2.2892
Pt 1.6184 -1.8349 2.2892
O 3.2368 3.1248 -2.3230
O 3.2368 -0.5450 2.3230
O 1.4718 1.8349 -0.2282
O 1.7650 -1.8349 4.3502
O 1.4718 5.5047 0.2282
O 1.7650 1.8349 4.8065
O 0.0000 4.2149 2.2553
O 0.0000 0.5450 6.9013



16
Lattice="4.3243 0.0000 0.0000 0.0000 4.3243 0.0000 0.0000 0.0000 15.4569" Properties=species:S:1:pos:R:3 comment="CaBe2Ru | the Alexandria database | PBE | relaxed" crystal_system=tetragonal ef_ev_per_atom=0.276 dft_energy_ev_per_cell=-70.505 e_above_lowest_polymorph_mev_per_atom=408 sg="No. 141" pbc="T T T"
Ca 0.0000 1.0811 5.7963
Ca 0.0000 3.2432 9.6606
Ca 2.1621 1.0811 1.9321
Ca 2.1621 3.2432 13.5248
Be 0.0000 0.0000 0.0000
Be 0.0000 2.1621 0.0000
Be 1.0811 1.0811 11.5927
Be 1.0811 3.2432 3.8642
Be 2.1621 0.0000 7.7285
Be 2.1621 2.1621 7.7285
Be 3.2432 1.0811 11.5927
Be 3.2432 3.2432 3.8642
Ru 0.0000 1.0811 13.5248
Ru 0.0000 3.2432 1.9321
Ru 2.1621 1.0811 9.6606
Ru 2.1621 3.2432 5.7963



5
Lattice="5.9075 0.0000 0.0000 0.0000 5.9075 0.0000 0.0000 0.0000 4.1102" Properties=species:S:1:pos:R:3 comment="CdMoCI2 | the Alexandria database | PBE | relaxed" crystal_system=tetragonal raw_formation_energy_ev_per_atom=2.10 dft_energy_ev_per_cell=-13.547 sg="No. 123" pbc="T T T"
Cd 0.0000 0.0000 0.0000
Mo 2.9538 2.9538 2.0551
C 0.0000 0.0000 2.0551
I 0.0000 2.9538 0.0000
I 2.9538 0.0000 0.0000